(1)
Compound: SmPu2Rh2
Source: Alexandria
Functional: PBE
Structure: relaxed

Results
calculated formation energy	-402	meV/atom
distance to the lowest polymorph of the same formula	0.000	eV per atom

a b c (Å): 3.767 4.408 13.725
angles (deg): 90.00 97.89 90.00
Fractional positions:
Sm 0.360 0.250 0.720
Sm 0.640 0.750 0.280
Pu 0.052 0.250 0.104
Pu 0.948 0.750 0.896
Pu 0.742 0.250 0.483
Pu 0.258 0.750 0.517
Rh 0.163 0.250 0.326
Rh 0.837 0.750 0.674
Rh 0.465 0.250 0.930
Rh 0.535 0.750 0.070

***

(2)
Compound: BaSr2Sb
Source: Alexandria
Functional: PBE
Structure: relaxed

Results
energy relative to the elements, uncorrected	-0.404	eV per atom

a b c (Å): 6.915 6.915 6.915
angles (deg): 135.36 135.36 64.96
Fractional positions:
Ba 0.500 0.500 0.000
Sb 0.750 0.250 0.500
Sr 0.000 0.000 0.000
Sr 0.250 0.750 0.500

***

(3)
Compound: Cs5Tl2Pb4
Source: Alexandria
Functional: PBE
Structure: relaxed

Results
calculated formation energy	-52	meV/atom

a b c (Å): 8.365 11.221 7.778
angles (deg): 62.74 57.47 68.12
Fractional positions:
Cs 0.138 0.232 0.030
Cs 0.862 0.768 0.970
Cs 0.000 0.500 0.500
Cs 0.600 0.232 0.030
Cs 0.400 0.768 0.970
Tl 0.124 0.088 0.664
Tl 0.876 0.912 0.336
Pb 0.384 0.581 0.651
Pb 0.616 0.419 0.349
Pb 0.649 0.114 0.588
Pb 0.351 0.886 0.412

***

Repeat the third record exactly.
Compound: Cs5Tl2Pb4
Source: Alexandria
Functional: PBE
Structure: relaxed

Results
calculated formation energy	-52	meV/atom

a b c (Å): 8.365 11.221 7.778
angles (deg): 62.74 57.47 68.12
Fractional positions:
Cs 0.138 0.232 0.030
Cs 0.862 0.768 0.970
Cs 0.000 0.500 0.500
Cs 0.600 0.232 0.030
Cs 0.400 0.768 0.970
Tl 0.124 0.088 0.664
Tl 0.876 0.912 0.336
Pb 0.384 0.581 0.651
Pb 0.616 0.419 0.349
Pb 0.649 0.114 0.588
Pb 0.351 0.886 0.412

***

- Which formula does entry 1 have?
  SmPu2Rh2